VASP calculation (PBE) on Tm2Co9Ge6 after structural relaxation.

Cell: 5.1969 5.1969 10.9939 Å, 90.00 90.00 120.00°
With the nearest neighbours (Å) after each atom.
Space group P6/mmm (No. 191)
Symmetry-distinct sites (fractional):
Tm 0.0000 0.0000 0.1856 [2 per cell]  6 Ge 3.01, 12 Co 3.05-3.30
Co 0.0000 0.5000 0.0000 [3 per cell]  4 Ge 2.35, 4 Co 2.60
Co 0.0000 0.5000 0.3313 [6 per cell]  4 Ge 2.37-2.39, 4 Co 2.60
Ge 0.3333 0.6667 0.1646 [4 per cell]  6 Co 2.35-2.37
Ge 0.3333 0.6667 0.5000 [2 per cell]  6 Co 2.39

formation enthalpy at 0 K	-245	meV per atom
raw total energy	-0.22649	Ha/atom